# 1
Material: Ca2ZnC2
Method: DFT, PBE
State: relaxed

Cell lengths 6.959, 6.959, 3.456 Å; angles 90.00, 90.00, 90.00 degrees
Atoms (fractional coordinates):
Ca1 0.213 0.287 0.000
Ca2 0.287 0.787 0.000
Ca3 0.713 0.213 0.000
Ca4 0.787 0.713 0.000
Zn1 0.000 0.000 0.500
Zn2 0.500 0.500 0.500
C1 0.067 0.567 0.500
C2 0.433 0.067 0.500
C3 0.567 0.933 0.500
C4 0.933 0.433 0.500

Values from the calculation:
space group: No. 127
DFT formation energy: 0.09 eV per atom

***

# 2
Material: NdY5N6
Method: DFT, PBE
State: relaxed

Cell lengths 6.079, 6.079, 6.077 Å; angles 99.59, 99.59, 120.01 degrees
Atoms (fractional coordinates):
Nd1 0.000 0.000 0.000
Y1 0.168 0.832 0.500
Y2 0.333 0.667 0.000
Y3 0.500 0.500 0.500
Y4 0.667 0.333 0.000
Y5 0.832 0.168 0.500
N1 0.084 0.424 0.253
N2 0.255 0.255 0.747
N3 0.424 0.084 0.253
N4 0.576 0.916 0.747
N5 0.745 0.745 0.253
N6 0.916 0.576 0.747

Values from the calculation:
space group: No. 12
final energy: -106.5 eV per cell

***

# 3
Material: RbNd2Br2F5
Method: DFT, PBE
State: relaxed

Cell lengths 10.483, 10.483, 3.638 Å; angles 90.00, 90.00, 90.00 degrees
Atoms (fractional coordinates):
Rb1 0.000 0.000 0.000
Rb2 0.500 0.500 0.000
Nd1 0.127 0.373 0.000
Nd2 0.373 0.873 0.000
Nd3 0.627 0.127 0.000
Nd4 0.873 0.627 0.000
Br1 0.168 0.668 0.000
Br2 0.332 0.168 0.000
Br3 0.668 0.832 0.000
Br4 0.832 0.332 0.000
F1 0.000 0.500 0.500
F2 0.079 0.237 0.500
F3 0.237 0.921 0.500
F4 0.263 0.421 0.500
F5 0.421 0.737 0.500
F6 0.500 0.000 0.500
F7 0.579 0.263 0.500
F8 0.737 0.579 0.500
F9 0.763 0.079 0.500
F10 0.921 0.763 0.500

Values from the calculation:
space group: No. 127
final energy: -109.1 eV per cell

***

# 4
Material: NaTcNi
Method: DFT, PBE
State: relaxed

Cell lengths 2.671, 3.748, 10.894 Å; angles 90.00, 91.20, 90.00 degrees
Atoms (fractional coordinates):
Na1 0.249 0.250 0.143
Na2 0.751 0.750 0.857
Tc1 0.295 0.250 0.434
Tc2 0.705 0.750 0.566
Ni1 0.232 0.250 0.671
Ni2 0.768 0.750 0.329

Values from the calculation:
space group: No. 11
DFT formation energy: 0.31 eV per atom
ΔE to the lowest computed polymorph: 0.069 eV/atom

***

# 5
Material: Ti2ZnOsF
Method: DFT, PBE
State: relaxed

Cell lengths 4.858, 4.858, 3.589 Å; angles 90.00, 90.00, 90.00 degrees
Atoms (fractional coordinates):
Ti1 0.000 0.500 0.000
Ti2 0.500 0.000 0.000
Zn1 0.000 0.000 0.000
Os1 0.500 0.500 0.500
F1 0.000 0.000 0.500

Values from the calculation:
space group: No. 123
final energy: -27.1 eV per cell

***

# 6
Material: NbReN2F
Method: DFT, PBE
State: relaxed

Cell lengths 3.946, 3.946, 3.989 Å; angles 90.00, 90.00, 90.00 degrees
Atoms (fractional coordinates):
Nb1 0.000 0.000 0.000
Re1 0.500 0.500 0.500
N1 0.000 0.500 0.500
N2 0.500 0.000 0.500
F1 0.500 0.500 0.000

Values from the calculation:
space group: No. 123
ΔE to the lowest computed polymorph: 0.000 eV/atom

***

# 7
Material: AcPm5Pb4
Method: DFT, PBE
State: relaxed

Cell lengths 3.665, 3.665, 23.413 Å; angles 90.00, 90.00, 90.00 degrees
Atoms (fractional coordinates):
Ac1 0.000 0.000 0.000
Pm1 0.500 0.500 0.117
Pm2 0.500 0.500 0.307
Pm3 0.500 0.500 0.500
Pm4 0.500 0.500 0.693
Pm5 0.500 0.500 0.883
Pb1 0.000 0.000 0.212
Pb2 0.000 0.000 0.404
Pb3 0.000 0.000 0.596
Pb4 0.000 0.000 0.788

Values from the calculation:
space group: No. 123
DFT formation energy: -0.38 eV per atom

***

# 8
Material: PC
Method: DFT, PBE
State: relaxed

Cell lengths 8.409, 2.915, 5.038 Å; angles 90.00, 90.00, 90.00 degrees
Atoms (fractional coordinates):
P1 0.187 0.250 0.204
P2 0.313 0.750 0.704
P3 0.687 0.250 0.296
P4 0.813 0.750 0.796
C1 0.235 0.750 0.030
C2 0.265 0.250 0.530
C3 0.735 0.750 0.470
C4 0.765 0.250 0.970

Values from the calculation:
space group: No. 62
DFT formation energy: 0.67 eV per atom
ΔE to the lowest computed polymorph: 0.355 eV/atom

***

| no. | total magnetic moment (μB per formula unit) |
| --- | --- |
| 1 | 0.0 |
| 2 | 0.0 |
| 3 | 0.0 |
| 4 | 0.0 |
| 5 | 1.0 |
| 6 | 2.5 |
| 7 | 0.2 |
| 8 | 0.0 |